1.
Density functional theory data (PBE) for a relaxed Ca3Ac4La2 crystal.

Results
SG: C2/m, No. 12
Energy relative to the elements (eV per atom): 0.072

Cell: 6.2564 7.2366 14.3169 Å, 133.53 90.00 115.61°
Fractional positions:
Ca (0.4402, 0.8804, 0.3366)
Ca (0.5598, 0.1196, 0.6634)
Ca (0.0000, 0.0000, 0.0000)
Ac (0.8944, 0.7888, 0.6640)
Ac (0.3558, 0.7117, 0.0213)
Ac (0.6442, 0.2883, 0.9787)
Ac (0.1056, 0.2112, 0.3360)
La (0.2045, 0.4090, 0.6652)
La (0.7955, 0.5910, 0.3348)


2.
Density functional theory data (PBE) for a relaxed CaAc3La2 crystal.

Results
SG: P-1, No. 2
Energy relative to the elements (eV per atom): 0.095

Cell: 7.4908 7.0618 12.7238 Å, 114.83 89.84 122.11°
Fractional positions:
La (0.3483, 0.7086, 0.9043)
La (0.6517, 0.2914, 0.0957)
La (0.3576, 0.7090, 0.4045)
La (0.6424, 0.2910, 0.5955)
Ac (0.2379, 0.9991, 0.7491)
Ac (0.7621, 0.0009, 0.2509)
Ac (0.1853, 0.3607, 0.5679)
Ac (0.8213, 0.6395, 0.9323)
Ac (0.1787, 0.3605, 0.0677)
Ac (0.8147, 0.6393, 0.4321)
Ca (0.2470, 0.9990, 0.2493)
Ca (0.7530, 0.0010, 0.7507)


3.
Density functional theory data (PBE) for a relaxed Ca3Ac5La3 crystal.

Results
SG: P-62m, No. 189
Energy relative to the elements (eV per atom): 0.294

Cell: 3.7114 12.2305 12.2305 Å, 120.00 90.00 90.00°
Fractional positions:
Ac (0.5000, 0.0000, 0.3401)
Ac (0.5000, 0.6599, 0.6599)
Ac (0.5000, 0.3333, 0.6667)
Ac (0.5000, 0.3401, 0.0000)
Ac (0.5000, 0.6667, 0.3333)
Ca (0.5000, 0.8359, 0.0000)
Ca (0.5000, 0.1641, 0.1641)
Ca (0.5000, 0.0000, 0.8359)
La (0.0000, 0.4119, 0.4119)
La (0.0000, 0.0000, 0.5881)
La (0.0000, 0.5881, 0.0000)


4.
Density functional theory data (PBE) for a relaxed Ca2Ac15La2 crystal.

Results
SG: R-3m, No. 166
Energy relative to the elements (eV per atom): 0.253

Cell: 9.7408 9.7409 9.7409 Å, 81.19 81.19 81.19°
Fractional positions:
Ac (0.1464, 0.6423, 0.6423)
Ac (0.0000, 0.2986, 0.7014)
Ac (0.3577, 0.8536, 0.3577)
Ac (0.6423, 0.6423, 0.1464)
Ac (0.0000, 0.5000, 0.0000)
Ac (0.2986, 0.7014, 0.0000)
Ac (0.5000, 0.0000, 0.0000)
Ac (0.6423, 0.1464, 0.6423)
Ac (0.0000, 0.7014, 0.2986)
Ac (0.0000, 0.0000, 0.5000)
Ac (0.3577, 0.3577, 0.8536)
Ac (0.7014, 0.2986, 0.0000)
Ac (0.8536, 0.3577, 0.3577)
Ac (0.2986, 0.0000, 0.7014)
Ac (0.7014, 0.0000, 0.2986)
La (0.9168, 0.9168, 0.9168)
La (0.0832, 0.0832, 0.0832)
Ca (0.6738, 0.6738, 0.6738)
Ca (0.3262, 0.3262, 0.3262)


5.
Density functional theory data (PBE) for a relaxed CaAc6La8 crystal.

Results
SG: R-3, No. 148
Energy relative to the elements (eV per atom): 0.358

Cell: 9.3586 9.3586 10.2271 Å, 62.77 62.77 60.00°
Fractional positions:
Ca (0.0000, 0.0000, 0.0000)
La (0.7189, 0.7189, 0.8434)
La (0.4138, 0.9506, 0.4321)
La (0.2035, 0.4138, 0.4321)
La (0.5862, 0.0494, 0.5679)
La (0.7965, 0.5862, 0.5679)
La (0.0494, 0.7965, 0.5679)
La (0.2811, 0.2811, 0.1567)
La (0.9506, 0.2035, 0.4321)
Ac (0.8566, 0.6495, 0.1470)
Ac (0.6495, 0.3470, 0.1470)
Ac (0.6530, 0.1434, 0.8530)
Ac (0.3470, 0.8566, 0.1470)
Ac (0.3505, 0.6530, 0.8530)
Ac (0.1434, 0.3505, 0.8530)


6.
Density functional theory data (PBE) for a relaxed CaAc5La2 crystal.

Results
SG: Immm, No. 71
Energy relative to the elements (eV per atom): 0.042

Cell: 3.8868 12.1255 9.6950 Å, 128.71 101.56 90.00°
Fractional positions:
Ac (0.0000, 0.5000, 0.0000)
Ac (0.6324, 0.8664, 0.2647)
Ac (0.6324, 0.3983, 0.2647)
Ac (0.3676, 0.1336, 0.7353)
Ac (0.3676, 0.6017, 0.7353)
La (0.2539, 0.7539, 0.5078)
La (0.7461, 0.2461, 0.4922)
Ca (0.0000, 0.0000, 0.0000)


7.
Density functional theory data (PBE) for a relaxed CaAc12La7 crystal.

Results
SG: R-3, No. 148
Energy relative to the elements (eV per atom): 0.124

Cell: 10.0853 10.0853 10.0853 Å, 107.33 107.33 107.33°
Fractional positions:
Ac (0.7764, 0.3253, 0.6186)
Ac (0.2858, 0.3959, 0.0475)
Ac (0.9525, 0.7142, 0.6041)
Ac (0.3959, 0.0475, 0.2858)
Ac (0.6186, 0.7764, 0.3253)
Ac (0.3814, 0.2236, 0.6747)
Ac (0.7142, 0.6041, 0.9525)
Ac (0.3253, 0.6186, 0.7764)
Ac (0.0475, 0.2858, 0.3959)
Ac (0.6747, 0.3814, 0.2236)
Ac (0.2236, 0.6747, 0.3814)
Ac (0.6041, 0.9525, 0.7142)
La (0.9905, 0.1077, 0.6724)
La (0.6724, 0.9905, 0.1077)
La (0.8923, 0.3276, 0.0095)
La (0.1077, 0.6724, 0.9905)
La (0.5000, 0.5000, 0.5000)
La (0.3276, 0.0095, 0.8923)
La (0.0095, 0.8923, 0.3276)
Ca (0.0000, 0.0000, 0.0000)


8.
Density functional theory data (PBE) for a relaxed Ca2Ac4La crystal.

Results
SG: Cmmm, No. 65
Energy relative to the elements (eV per atom): 0.427

Cell: 6.5011 6.8188 7.8240 Å, 115.83 90.00 90.00°
Fractional positions:
Ca (0.5000, 0.1076, 0.2151)
Ca (0.5000, 0.8924, 0.7849)
Ac (0.5000, 0.3607, 0.7214)
Ac (0.5000, 0.6393, 0.2786)
Ac (0.0000, 0.1981, 0.3963)
Ac (0.0000, 0.8019, 0.6037)
La (0.0000, 0.5000, 0.0000)


- Which of these has the highest energy relative to the elements?
  Ca2Ac4La